A plane-wave DFT calculation with PBE-GGA was carried out for a geometry-optimized Ta2BiRhAu structure.

Structure (CIF):
```
data_Ta2BiRhAu
_cell_length_a 4.939
_cell_length_b 4.939
_cell_length_c 4.989
_cell_angle_alpha 90.00
_cell_angle_beta 90.00
_cell_angle_gamma 90.00
_symmetry_space_group_name_H-M 'P 4/m m m'
_symmetry_Int_Tables_number 123
_symmetry_space_group_name_Hall '-P 4 2'
loop_
_atom_site_label
_atom_site_fract_x
_atom_site_fract_y
_atom_site_fract_z
Ta1 0.000 0.500 0.000
Bi1 0.000 0.000 0.500
Rh1 0.500 0.500 0.500
Au1 0.500 0.500 0.000
```

Output
For the total energy, the calculation gives -6.244 eV/atom. As for the density: 11881 kg/m³.

***

A plane-wave DFT calculation with PBE-GGA was carried out for a geometry-optimized In9Hg6Bi structure.

Structure (CIF):
```
data_In9Hg6Bi
_cell_length_a 8.292
_cell_length_b 8.292
_cell_length_c 12.707
_cell_angle_alpha 90.00
_cell_angle_beta 90.00
_cell_angle_gamma 90.00
_symmetry_space_group_name_H-M 'I 4/m'
_symmetry_Int_Tables_number 87
_symmetry_space_group_name_Hall '-I 4'
loop_
_atom_site_label
_atom_site_fract_x
_atom_site_fract_y
_atom_site_fract_z
In1 0.000 0.000 0.000
In2 0.140 0.662 0.340
Hg1 0.000 0.000 0.240
Hg2 0.138 0.656 0.000
Bi1 0.000 0.000 0.500
```

Output
For the total energy, the calculation gives -1.871 eV/atom. As for the density: 9297 kg/m³.

***

A plane-wave DFT calculation with PBE-GGA was carried out for a geometry-optimized MgRhBr structure.

Structure (CIF):
```
data_MgRhBr
_cell_length_a 4.3272
_cell_length_b 4.3272
_cell_length_c 7.2436
_cell_angle_alpha 90.00
_cell_angle_beta 90.00
_cell_angle_gamma 120.00
_symmetry_space_group_name_H-M 'P 63/m m c'
_symmetry_Int_Tables_number 194
_symmetry_space_group_name_Hall '-P 6c 2c'
loop_
_atom_site_label
_atom_site_fract_x
_atom_site_fract_y
_atom_site_fract_z
Mg1 0.0000 0.0000 0.0000
Rh1 0.3333 0.6667 0.2500
Br1 0.3333 0.6667 0.7500
```

Output
Its formation energy (no corrections) is 0.3 eV per formula unit. For the total energy, the calculation gives -3.445 eV/atom. As for the density: 5856 kg/m³.

***

A plane-wave DFT calculation with PBE-GGA was carried out for a geometry-optimized BaTiIO2 structure.

Structure (CIF):
```
data_BaTiIO2
_cell_length_a 4.561
_cell_length_b 4.561
_cell_length_c 6.914
_cell_angle_alpha 90.00
_cell_angle_beta 90.00
_cell_angle_gamma 90.00
_symmetry_space_group_name_H-M 'P 4/m m m'
_symmetry_Int_Tables_number 123
_symmetry_space_group_name_Hall '-P 4 2'
loop_
_atom_site_label
_atom_site_fract_x
_atom_site_fract_y
_atom_site_fract_z
Ba1 0.000 0.000 0.000
Ti1 0.500 0.500 0.500
I1 0.000 0.000 0.500
O1 0.000 0.500 0.000
```

Output
Its formation energy (no corrections) is -1.0 eV per formula unit. For the total energy, the calculation gives -4.452 eV/atom. As for the density: 3972 kg/m³.

***

A plane-wave DFT calculation with PBE-GGA was carried out for a geometry-optimized Cs2RhNF6 structure.

Structure (CIF):
```
data_Cs2RhNF6
_cell_length_a 6.611
_cell_length_b 6.611
_cell_length_c 9.414
_cell_angle_alpha 90.00
_cell_angle_beta 90.00
_cell_angle_gamma 90.00
_symmetry_space_group_name_H-M 'I 4/m m m'
_symmetry_Int_Tables_number 139
_symmetry_space_group_name_Hall '-I 4 2'
loop_
_atom_site_label
_atom_site_fract_x
_atom_site_fract_y
_atom_site_fract_z
Cs1 0.000 0.500 0.250
Rh1 0.000 0.000 0.000
N1 0.000 0.000 0.500
F1 0.000 0.000 0.208
F2 0.209 0.209 0.000
```

Output
Its formation energy (no corrections) is -14.8 eV per formula unit. For the total energy, the calculation gives -4.342 eV/atom. As for the density: 4010 kg/m³.

***

A plane-wave DFT calculation with PBE-GGA was carried out for a geometry-optimized NaSr2Ag16 structure.

Structure (CIF):
```
data_NaSr2Ag16
_cell_length_a 9.7824
_cell_length_b 9.7824
_cell_length_c 14.4374
_cell_angle_alpha 90.00
_cell_angle_beta 90.00
_cell_angle_gamma 120.00
_symmetry_space_group_name_H-M 'R 3 m'
_symmetry_Int_Tables_number 160
_symmetry_space_group_name_Hall 'R 3 -2"'
loop_
_atom_site_label
_atom_site_fract_x
_atom_site_fract_y
_atom_site_fract_z
Na1 0.0000 0.0000 0.0000
Sr1 0.0000 0.0000 0.4307
Sr2 0.0000 0.0000 0.7433
Ag1 0.0000 0.0000 0.1959
Ag2 0.9998 0.3036 0.0928
Ag3 0.9998 0.4999 0.9373
Ag4 0.0047 0.5024 0.2476
Ag5 0.1685 0.3370 0.9256
```

Output
For the total energy, the calculation gives -2.760 eV/atom. As for the density: 8011 kg/m³.

***

A plane-wave DFT calculation with PBE-GGA was carried out for a geometry-optimized LiTlZn3 structure.

Structure (CIF):
```
data_LiTlZn3
_cell_length_a 4.775
_cell_length_b 4.775
_cell_length_c 4.775
_cell_angle_alpha 90.00
_cell_angle_beta 90.00
_cell_angle_gamma 90.00
_symmetry_space_group_name_H-M 'P m -3 m'
_symmetry_Int_Tables_number 221
_symmetry_space_group_name_Hall '-P 4 2 3'
loop_
_atom_site_label
_atom_site_fract_x
_atom_site_fract_y
_atom_site_fract_z
Li1 0.000 0.000 0.000
Tl1 0.500 0.500 0.500
Zn1 0.000 0.000 0.500
```

Output
For the total energy, the calculation gives -1.316 eV/atom. As for the density: 6217 kg/m³.

***

A plane-wave DFT calculation with PBE-GGA was carried out for a geometry-optimized PmPu2F8 structure.

Structure (CIF):
```
data_PmPu2F8
_cell_length_a 13.596
_cell_length_b 4.962
_cell_length_c 4.592
_cell_angle_alpha 90.00
_cell_angle_beta 109.55
_cell_angle_gamma 90.00
_symmetry_space_group_name_H-M 'C 1 2/m 1'
_symmetry_Int_Tables_number 12
loop_
_symmetry_equiv_pos_as_xyz
'x,y,z'
'-x,-y,-z'
'-x,y,-z'
'x,-y,z'
'x+1/2,y+1/2,z'
'-x+1/2,-y+1/2,-z'
'-x+1/2,y+1/2,-z'
'x+1/2,-y+1/2,z'
loop_
_atom_site_label
_atom_site_fract_x
_atom_site_fract_y
_atom_site_fract_z
Pm1 0.000 0.000 0.000
Pu1 0.164 0.500 0.664
F1 0.000 0.500 0.246
F2 0.097 0.000 0.599
F3 0.168 0.250 0.168
```

Output
Its formation energy (no corrections) is -39.4 eV per formula unit. For the total energy, the calculation gives -7.981 eV/atom. As for the density: 8930 kg/m³.

***

| no. | D(E_F) (states/eV per atom) |
| --- | --- |
| 1 | 1.360 |
| 2 | 0.493 |
| 3 | 0.546 |
| 4 | 1.695 |
| 5 | 9.154 |
| 6 | 0.252 |
| 7 | 0.612 |
| 8 | 1.977 |